1.
The following is a meta-GGA SCAN calculation of a PBEsol-optimized structure of Sr3Sc, from Alexandria via LeMat-Bulk.

Output
calculated formation energy = 0.3101 eV per atom
D(E_F) = 1.107 states/eV per atom

a b c (Å): 3.7726 6.0141 7.3548
angles (deg): 90.00 101.63 90.00
Fractional positions:
Sr 0.5000 0.0000 0.5000
Sr 0.7683 0.5000 0.2336
Sr 0.2317 0.5000 0.7664
Sc 0.0000 0.0000 0.0000

***

2.
The following is a meta-GGA SCAN calculation of a PBEsol-optimized structure of Sr3Sc, from Alexandria via LeMat-Bulk.

Output
calculated formation energy = 0.2752 eV per atom
D(E_F) = 0.984 states/eV per atom

a b c (Å): 4.1871 6.2722 7.3202
angles (deg): 115.37 106.62 90.00
Fractional positions:
Sr 0.5000 0.4166 0.0000
Sr 0.2715 0.6882 0.5431
Sr 0.7285 0.1451 0.4569
Sc 0.0000 0.9167 0.0000